[1]
DFT (SCAN) results for a crystal of Hf3PC relaxed with PBEsol.

Calculated values
Total moment, μB/atom: 0.000
Total DFT energy (no corrections), eV/atom: -40.522
SG: Pm-3m, No. 221
Energy of formation from the pure elements, eV per atom: 1.182

a b c (Å): 4.691 4.691 4.691
angles (deg): 90.00 90.00 90.00
Fractional coordinates of all 5 atoms:
1 P 0.000 0.000 0.000
2 C 0.500 0.500 0.500
3 Hf 0.000 0.500 0.000
4 Hf 0.000 0.000 0.500
5 Hf 0.500 0.000 0.000

***

[2]
DFT (SCAN) results for a crystal of HfP3C relaxed with PBEsol.

Calculated values
Total moment, μB/atom: 0.000
Total DFT energy (no corrections), eV/atom: -20.136
SG: Pm-3m, No. 221
Energy of formation from the pure elements, eV per atom: 0.658

a b c (Å): 4.051 4.051 4.051
angles (deg): 90.00 90.00 90.00
Fractional coordinates of all 5 atoms:
1 P 0.000 0.500 0.000
2 P 0.000 0.000 0.500
3 P 0.500 0.000 0.000
4 C 0.000 0.000 0.000
5 Hf 0.500 0.500 0.500

***

[3]
DFT (SCAN) results for a crystal of HfSbP2C relaxed with PBEsol.

Calculated values
Total moment, μB/atom: 0.000
Total DFT energy (no corrections), eV/atom: -25.257
SG: P4/mmm, No. 123
Energy relative to the elements, uncorrected, eV per atom: 0.9088

a b c (Å): 4.169 4.986 4.986
angles (deg): 90.00 90.00 90.00
Fractional coordinates of all 5 atoms:
1 Sb 0.500 0.500 0.500
2 C 0.500 0.000 0.000
3 Hf 0.000 0.000 0.000
4 P 0.000 0.000 0.500
5 P 0.000 0.500 0.000

***

[4]
DFT (SCAN) results for a crystal of HfRe2TcC relaxed with PBEsol.

Calculated values
Total moment, μB/atom: 0.210
Total DFT energy (no corrections), eV/atom: -49.941
SG: P4/mmm, No. 123
Energy of formation from the pure elements, eV per atom: 0.065

a b c (Å): 4.028 4.028 4.349
angles (deg): 90.00 90.00 90.00
Site moments in Bohr magnetons follow the coordinates.
Fractional coordinates of all 5 atoms:
1 Re 0.000 0.500 0.000  -0.09
2 Re 0.500 0.000 0.000  -0.09
3 C 0.000 0.000 0.000  -0.01
4 Hf 0.000 0.000 0.500  0.00
5 Tc 0.500 0.500 0.500  -0.77

***

[5]
DFT (SCAN) results for a crystal of Hf4Ru12C3 relaxed with PBEsol.

Calculated values
Total moment, μB/atom: 0.000
Total DFT energy (no corrections), eV/atom: -37.187
SG: P4/mmm, No. 123
Energy of formation from the pure elements, eV per atom: -0.402

a b c (Å): 4.029 4.029 15.794
angles (deg): 90.00 90.00 90.00
Fractional coordinates of all 19 atoms:
1 Ru 0.500 0.500 0.885
2 Ru 0.500 0.500 0.115
3 Ru 0.500 0.500 0.372
4 Ru 0.500 0.500 0.628
5 Ru 0.500 0.000 0.000
6 Ru 0.500 0.000 0.249
7 Ru 0.500 0.000 0.500
8 Ru 0.500 0.000 0.751
9 Ru 0.000 0.500 0.000
10 Ru 0.000 0.500 0.249
11 Ru 0.000 0.500 0.500
12 Ru 0.000 0.500 0.751
13 C 0.500 0.500 0.238
14 C 0.500 0.500 0.500
15 C 0.500 0.500 0.762
16 Hf 0.000 0.000 0.883
17 Hf 0.000 0.000 0.117
18 Hf 0.000 0.000 0.373
19 Hf 0.000 0.000 0.627

***

[6]
DFT (SCAN) results for a crystal of Hf3CS relaxed with PBEsol.

Calculated values
Total moment, μB/atom: 0.000
Total DFT energy (no corrections), eV/atom: -40.494
SG: Pm-3m, No. 221
Energy relative to the elements, uncorrected, eV per atom: 1.0551

a b c (Å): 4.620 4.620 4.620
angles (deg): 90.00 90.00 90.00
Fractional coordinates of all 5 atoms:
1 S 0.000 0.000 0.000
2 Hf 0.000 0.500 0.000
3 Hf 0.000 0.000 0.500
4 Hf 0.500 0.000 0.000
5 C 0.500 0.500 0.500

***

[7]
DFT (SCAN) results for a crystal of HfSb3C relaxed with PBEsol.

Calculated values
Total moment, μB/atom: 0.456
Total DFT energy (no corrections), eV/atom: -35.312
SG: Pm-3m, No. 221
Energy relative to the elements, uncorrected, eV per atom: 1.5989

a b c (Å): 5.387 5.387 5.387
angles (deg): 90.00 90.00 90.00
Site moments in Bohr magnetons follow the coordinates.
Fractional coordinates of all 5 atoms:
1 Sb 0.000 0.500 0.000  0.00
2 Sb 0.000 0.000 0.500  0.00
3 Sb 0.500 0.000 0.000  0.00
4 C 0.500 0.500 0.500  1.01
5 Hf 0.000 0.000 0.000  0.08

***

[8]
DFT (SCAN) results for a crystal of HfSbC3 relaxed with PBEsol.

Calculated values
Total moment, μB/atom: 0.000
Total DFT energy (no corrections), eV/atom: -24.057
SG: Pm-3m, No. 221
Energy relative to the elements, uncorrected, eV per atom: 1.9899

a b c (Å): 4.262 4.262 4.262
angles (deg): 90.00 90.00 90.00
Fractional coordinates of all 5 atoms:
1 Sb 0.500 0.500 0.500
2 C 0.000 0.500 0.000
3 C 0.000 0.000 0.500
4 C 0.500 0.000 0.000
5 Hf 0.000 0.000 0.000